## K2Al2MoO6 (GGA+U)

Data for K2Al2MoO6 after structural relaxation.

Structure (CIF):
```
data_K2Al2MoO6
_chemical_formula_sum 'K2 Al2 Mo1 O6'
_space_group_name_H-M_alt 'P 1'
_space_group_IT_number 1
_cell_length_a 6.765
_cell_length_b 6.765
_cell_length_c 6.765
_cell_angle_alpha 50.95
_cell_angle_beta 50.95
_cell_angle_gamma 50.95
loop_
_space_group_symop_operation_xyz
'x,y,z'
loop_
_atom_site_label
_atom_site_fract_x
_atom_site_fract_y
_atom_site_fract_z
K1 0.201 0.201 0.201
K2 0.799 0.799 0.799
Al1 0.399 0.399 0.399
Al2 0.601 0.601 0.601
Mo1 0.000 0.000 0.000
O1 0.236 0.236 0.742
O2 0.236 0.742 0.236
O3 0.258 0.764 0.764
O4 0.742 0.236 0.236
O5 0.764 0.258 0.764
O6 0.764 0.764 0.258
```

Uncorrected energy in eV/f.u.: -68.9
Fermi-level density of states in states/eV/atom: 0.33